VASP calculation (PBE) on a relaxed Na2YMnIn crystal.

Calculated density   3.3 Mg/m³
Energy of formation from the pure elements   0.678 eV/atom
Offset from the most stable computed form   0 meV per atom
Space-group type   P4/mmm, No. 123
Fermi-level density of states   1.08 states/eV per atom

Cell: 5.4542 5.4542 5.1908 Å, 90.00 90.00 90.00°
Sites, in units of the cell vectors:
Na (0.0000, 0.5000, 0.0000)
Na (0.5000, 0.0000, 0.0000)
Y (0.0000, 0.0000, 0.5000)
Mn (0.5000, 0.5000, 0.5000)
In (0.5000, 0.5000, 0.0000)